1.
Below is LaCd after structural relaxation, with properties calculated at the PBE-GGA level.

## Properties
size of the total moment = 0.00 μB per formula unit
formation energy from the elements = -0.07 eV/atom
volume = 135.6 Å³ per cell
total DFT energy (no corrections) = -2.99 eV/atom

Unit cell a=5.2656 b=5.2656 c=5.6457 alpha=90.00 beta=90.00 gamma=120.00
With the nearest neighbours (Å) after each atom.
Sites, in units of the cell vectors:
La1 0.3333 0.6667 0.2500  6 Cd 3.35
La2 0.6667 0.3333 0.7500  6 Cd 3.35
Cd1 0.0000 0.0000 0.5000  2 Cd 2.82
Cd2 0.0000 0.0000 0.0000  2 Cd 2.82

2.
Below is La5Cd4 after structural relaxation, with properties calculated at the PBE-GGA level.

## Properties
size of the total moment = 0.00 μB per formula unit
formation energy from the elements = -0.21 eV/atom
volume = 572.4 Å³ per cell
total DFT energy (no corrections) = -3.36 eV/atom
energy relative to the lowest polymorph listed for this composition = 0.000 eV per atom

Unit cell a=9.7771 b=9.7771 c=6.9139 alpha=90.00 beta=90.00 gamma=60.00
With the nearest neighbours (Å) after each atom.
Sites, in units of the cell vectors:
Cd1 0.3662 0.0000 0.2500  9 La 3.29-3.56
Cd2 0.6338 0.3662 0.2500  9 La 3.29-3.56
Cd3 0.0000 0.0000 0.5000  6 La 3.38, 2 Cd 3.46
Cd4 0.6338 0.0000 0.7500  9 La 3.29-3.56
Cd5 0.0000 0.3662 0.7500  9 La 3.29-3.56
Cd6 0.3662 0.6338 0.7500  9 La 3.29-3.56
Cd7 0.0000 0.0000 0.0000  6 La 3.38, 2 Cd 3.46
Cd8 0.0000 0.6338 0.2500  9 La 3.29-3.56
La1 0.6667 0.6667 0.5000  8 La 3.46-3.86, 6 Cd 3.56
La2 0.0000 0.2971 0.2500  7 Cd 3.29-3.52
La3 0.3333 0.3333 0.5000  8 La 3.46-3.86, 6 Cd 3.56
La4 0.2971 0.7029 0.2500  7 Cd 3.29-3.52
La5 0.6667 0.6667 0.0000  8 La 3.46-3.86, 6 Cd 3.56
La6 0.7029 0.0000 0.2500  7 Cd 3.29-3.52
La7 0.3333 0.3333 0.0000  8 La 3.46-3.86, 6 Cd 3.56
La8 0.2971 0.0000 0.7500  7 Cd 3.29-3.52
La9 0.0000 0.7029 0.7500  7 Cd 3.29-3.52
La10 0.7029 0.2971 0.7500  7 Cd 3.29-3.52

3.
Below is La2Cd after structural relaxation, with properties calculated at the PBE-GGA level.

## Properties
size of the total moment = 0.11 μB per formula unit
formation energy from the elements = -0.22 eV/atom
volume = 195.5 Å³ per cell
total DFT energy (no corrections) = -3.81 eV/atom

Unit cell a=3.8619 b=3.8619 c=13.1111 alpha=90.00 beta=90.00 gamma=90.00
With the nearest neighbours (Å) after each atom.
Sites, in units of the cell vectors:
La1 0.5000 0.5000 0.0000  8 Cd 3.41
La2 0.5000 0.5000 0.6920  4 Cd 3.38, 4 La 3.71
La3 0.0000 0.0000 0.5000  12 La 3.71-3.86
La4 0.5000 0.5000 0.3080  4 Cd 3.38, 4 La 3.71
Cd1 0.0000 0.0000 0.1557  8 La 3.38-3.41
Cd2 0.0000 0.0000 0.8443  8 La 3.38-3.41

4.
Below is LaCd22 after structural relaxation, with properties calculated at the PBE-GGA level.

## Properties
size of the total moment = 0.00 μB per formula unit
formation energy from the elements = -0.06 eV/atom
volume = 1075.8 Å³ per cell
total DFT energy (no corrections) = -1.15 eV/atom

Unit cell a=11.5012 b=11.5012 c=11.5012 alpha=60.00 beta=60.00 gamma=60.00
With the nearest neighbours (Å) after each atom.
Sites, in units of the cell vectors:
Cd1 0.2366 0.0134 0.2366  8 Cd 2.88-3.18
Cd2 0.6802 0.1802 0.9423  7 Cd 2.93-3.25
Cd3 0.2366 0.0134 0.5134  8 Cd 2.88-3.18
Cd4 0.1972 0.1802 0.6802  7 Cd 2.93-3.25
Cd5 0.9423 0.1802 0.1972  7 Cd 2.93-3.25
Cd6 0.5000 0.5000 0.0000  12 Cd 3.42, 2 La 3.52
Cd7 0.1972 0.4423 0.6802  7 Cd 2.93-3.25
Cd8 0.9423 0.6972 0.6802  7 Cd 2.93-3.25
Cd9 0.0000 0.0000 0.5000  6 Cd 2.88
Cd10 0.8028 0.8198 0.3198  7 Cd 2.93-3.25
Cd11 0.2366 0.7366 0.5134  8 Cd 2.88-3.18
Cd12 0.3198 0.8198 0.8028  7 Cd 2.93-3.25
Cd13 0.3198 0.8198 0.0577  7 Cd 2.93-3.25
Cd14 0.0577 0.3028 0.3198  7 Cd 2.93-3.25
Cd15 0.7634 0.9866 0.7634  8 Cd 2.88-3.18
Cd16 0.7634 0.2634 0.4866  8 Cd 2.88-3.18
Cd17 0.3198 0.3028 0.3198  7 Cd 2.93-3.25
Cd18 0.6802 0.4423 0.1972  7 Cd 2.93-3.25
Cd19 0.6802 0.6972 0.9423  7 Cd 2.93-3.25
Cd20 0.3198 0.5577 0.3198  7 Cd 2.93-3.25
Cd21 0.6802 0.4423 0.6802  7 Cd 2.93-3.25
Cd22 0.4866 0.2634 0.7634  8 Cd 2.88-3.18
Cd23 0.5134 0.7366 0.2366  8 Cd 2.88-3.18
Cd24 0.4866 0.9866 0.7634  8 Cd 2.88-3.18
Cd25 0.0577 0.8198 0.8028  7 Cd 2.93-3.25
Cd26 0.1972 0.1802 0.9423  7 Cd 2.93-3.25
Cd27 0.4866 0.2634 0.4866  8 Cd 2.88-3.18
Cd28 0.5134 0.7366 0.5134  8 Cd 2.88-3.18
Cd29 0.5134 0.0134 0.2366  8 Cd 2.88-3.18
Cd30 0.6802 0.1802 0.1972  7 Cd 2.93-3.25
Cd31 0.0577 0.8198 0.3198  7 Cd 2.93-3.25
Cd32 0.8028 0.8198 0.0577  7 Cd 2.93-3.25
Cd33 0.9423 0.1802 0.6802  7 Cd 2.93-3.25
Cd34 0.3198 0.5577 0.8028  7 Cd 2.93-3.25
Cd35 0.6802 0.6972 0.6802  7 Cd 2.93-3.25
Cd36 0.0000 0.5000 0.0000  12 Cd 3.42, 2 La 3.52
Cd37 0.5000 0.0000 0.0000  6 Cd 2.88
Cd38 0.5000 0.0000 0.5000  6 Cd 2.88
Cd39 0.3198 0.3028 0.0577  7 Cd 2.93-3.25
Cd40 0.5000 0.5000 0.5000  6 Cd 2.88
Cd41 0.8028 0.5577 0.3198  7 Cd 2.93-3.25
Cd42 0.0000 0.0000 0.0000  12 Cd 3.42, 2 La 3.52
Cd43 0.7634 0.9866 0.4866  8 Cd 2.88-3.18
Cd44 0.0000 0.5000 0.5000  12 Cd 3.42, 2 La 3.52
La1 0.1250 0.6250 0.1250  16 Cd 3.49-3.52
La2 0.8750 0.3750 0.8750  16 Cd 3.49-3.52

5.
Below is LaCd4 after structural relaxation, with properties calculated at the PBE-GGA level.

## Properties
size of the total moment = 0.01 μB per formula unit
formation energy from the elements = 0.69 eV/atom
volume = 241.4 Å³ per cell
total DFT energy (no corrections) = -1.03 eV/atom

Unit cell a=6.2265 b=6.2265 c=6.2265 alpha=90.00 beta=90.00 gamma=90.00
With the nearest neighbours (Å) after each atom.
Sites, in units of the cell vectors:
Cd1 0.5000 0.0000 0.5000  2 La 3.11
Cd2 0.0000 0.5000 0.5000  2 La 3.11
Cd3 0.0000 0.0000 0.0000  12 Cd 4.40
Cd4 0.5000 0.5000 0.0000  2 La 3.11
La1 0.5000 0.5000 0.5000  6 Cd 3.11

6.
Below is La3Cd after structural relaxation, with properties calculated at the PBE-GGA level.

## Properties
size of the total moment = 1.61 μB per formula unit
formation energy from the elements = -0.04 eV/atom
volume = 128.3 Å³ per cell
total DFT energy (no corrections) = -3.97 eV/atom

Unit cell a=5.6617 b=5.6617 c=5.6617 alpha=60.00 beta=60.00 gamma=60.00
With the nearest neighbours (Å) after each atom.
Sites, in units of the cell vectors:
Cd1 0.0000 0.0000 0.0000  8 La 3.47
La1 0.2500 0.2500 0.2500  4 La 3.47, 4 Cd 3.47
La2 0.7500 0.7500 0.7500  4 Cd 3.47, 4 La 3.47
La3 0.5000 0.5000 0.5000  8 La 3.47

7.
Below is LaCd2 after structural relaxation, with properties calculated at the PBE-GGA level.

## Properties
size of the total moment = 0.00 μB per formula unit
formation energy from the elements = -0.33 eV/atom
volume = 634.6 Å³ per cell
total DFT energy (no corrections) = -2.59 eV/atom

Unit cell a=6.1075 b=6.1075 c=19.6454 alpha=90.00 beta=90.00 gamma=120.00
With the nearest neighbours (Å) after each atom.
Sites, in units of the cell vectors:
Cd1 0.1627 0.8373 0.7500  6 Cd 2.98-3.13
Cd2 0.3253 0.1627 0.2500  6 Cd 2.98-3.13
Cd3 0.6667 0.3333 0.1274  6 Cd 3.01-3.06
Cd4 0.5000 0.0000 0.5000  6 Cd 3.05-3.06
Cd5 0.6667 0.3333 0.3726  6 Cd 3.01-3.06
Cd6 0.5000 0.5000 0.0000  6 Cd 3.05-3.06
Cd7 0.5000 0.0000 0.0000  6 Cd 3.05-3.06
Cd8 0.6747 0.8373 0.7500  6 Cd 2.98-3.13
Cd9 0.3333 0.6667 0.6274  6 Cd 3.01-3.06
Cd10 0.0000 0.5000 0.0000  6 Cd 3.05-3.06
Cd11 0.1627 0.3253 0.7500  6 Cd 2.98-3.13
Cd12 0.5000 0.5000 0.5000  6 Cd 3.05-3.06
Cd13 0.0000 0.5000 0.5000  6 Cd 3.05-3.06
Cd14 0.3333 0.6667 0.8726  6 Cd 3.01-3.06
Cd15 0.8373 0.1627 0.2500  6 Cd 2.98-3.13
Cd16 0.8373 0.6747 0.2500  6 Cd 2.98-3.13
La1 0.3333 0.6667 0.3426  12 Cd 3.55-3.58, 4 La 3.64-3.75
La2 0.6667 0.3333 0.6574  12 Cd 3.55-3.58, 4 La 3.64-3.75
La3 0.0000 0.0000 0.0923  12 Cd 3.54-3.59, 4 La 3.63-3.75
La4 0.0000 0.0000 0.5923  12 Cd 3.54-3.59, 4 La 3.63-3.75
La5 0.0000 0.0000 0.4077  12 Cd 3.54-3.59, 4 La 3.63-3.75
La6 0.3333 0.6667 0.1574  12 Cd 3.55-3.58, 4 La 3.64-3.75
La7 0.0000 0.0000 0.9077  12 Cd 3.54-3.59, 4 La 3.63-3.75
La8 0.6667 0.3333 0.8426  12 Cd 3.55-3.58, 4 La 3.64-3.75

8.
Below is La4Cd after structural relaxation, with properties calculated at the PBE-GGA level.

## Properties
size of the total moment = 0.15 μB per formula unit
formation energy from the elements = -0.13 eV/atom
volume = 172.1 Å³ per cell
total DFT energy (no corrections) = -4.25 eV/atom
energy relative to the lowest polymorph listed for this composition = 0.000 eV per atom

Unit cell a=3.8098 b=3.8098 c=12.1620 alpha=99.01 beta=99.01 gamma=90.00
With the nearest neighbours (Å) after each atom.
Sites, in units of the cell vectors:
Cd1 0.0000 0.0000 0.0000  8 La 3.40
La1 0.4128 0.4128 0.8256  4 Cd 3.40, 4 La 3.73
La2 0.1959 0.1959 0.3918  12 La 3.72-3.81
La3 0.8041 0.8041 0.6082  12 La 3.72-3.81
La4 0.5872 0.5872 0.1744  4 Cd 3.40, 4 La 3.73

9.
Below is La3Cd after structural relaxation, with properties calculated at the PBE-GGA level.

## Properties
size of the total moment = 0.00 μB per formula unit
formation energy from the elements = 0.05 eV/atom
volume = 137.9 Å³ per cell
total DFT energy (no corrections) = -3.88 eV/atom

Unit cell a=3.5344 b=3.5745 c=10.9179 alpha=90.00 beta=90.00 gamma=90.00
With the nearest neighbours (Å) after each atom.
Sites, in units of the cell vectors:
La1 0.0000 0.5000 0.4640  10 La 3.53-3.72
La2 0.5000 0.0000 0.7150  2 Cd 3.34, 8 La 3.53-3.72
La3 0.5000 0.5000 0.1800  4 Cd 3.37, 6 La 3.53-3.57
Cd1 0.0000 0.0000 0.9744  6 La 3.34-3.37, 4 Cd 3.53-3.57

10.
Below is LaCd after structural relaxation, with properties calculated at the PBE-GGA level.

## Properties
size of the total moment = 0.78 μB per formula unit
formation energy from the elements = 0.36 eV/atom
volume = 170.7 Å³ per cell
total DFT energy (no corrections) = -2.56 eV/atom

Unit cell a=5.5281 b=5.5281 c=6.4511 alpha=90.00 beta=90.00 gamma=120.00
With the nearest neighbours (Å) after each atom.
Sites, in units of the cell vectors:
Cd1 0.6667 0.3333 0.7500  5 La 3.19-3.23
Cd2 0.3333 0.6667 0.2500  5 La 3.19-3.23
La1 0.6667 0.3333 0.2500  5 Cd 3.19-3.23
La2 0.3333 0.6667 0.7500  5 Cd 3.19-3.23

11.
Below is La4Cd after structural relaxation, with properties calculated at the PBE-GGA level.

## Properties
size of the total moment = 0.00 μB per formula unit
formation energy from the elements = -0.10 eV/atom
volume = 165.3 Å³ per cell
total DFT energy (no corrections) = -4.23 eV/atom
energy relative to the lowest polymorph listed for this composition = 0.024 eV per atom

Unit cell a=5.0267 b=6.2610 c=6.2610 alpha=99.27 beta=113.67 gamma=66.33
With the nearest neighbours (Å) after each atom.
Sites, in units of the cell vectors:
La1 0.3866 0.4156 0.1887  9 La 3.46-3.70, 3 Cd 3.52-3.63
La2 0.1978 0.1887 0.5844  9 La 3.46-3.70, 3 Cd 3.52-3.63
La3 0.6134 0.5844 0.8113  9 La 3.46-3.70, 3 Cd 3.52-3.63
La4 0.8022 0.8113 0.4156  9 La 3.46-3.70, 3 Cd 3.52-3.63
Cd1 0.0000 0.0000 0.0000  12 La 3.52-3.63

12.
Below is LaCd after structural relaxation, with properties calculated at the PBE-GGA level.

## Properties
size of the total moment = 0.00 μB per formula unit
formation energy from the elements = -0.25 eV/atom
volume = 175.5 Å³ per cell
total DFT energy (no corrections) = -3.17 eV/atom

Unit cell a=3.9825 b=6.4017 c=7.6677 alpha=71.83 beta=90.00 gamma=71.88
With the nearest neighbours (Å) after each atom.
Sites, in units of the cell vectors:
La1 0.3106 0.3787 0.0929  7 Cd 3.36-3.70, 3 La 3.46-3.55
La2 0.9837 0.0327 0.4447  4 Cd 3.30-3.41, 5 La 3.46-3.64
La3 0.2926 0.4147 0.6215  7 Cd 3.43-3.70, 4 La 3.55-3.64
Cd1 0.9896 0.0209 0.9567  4 Cd 3.01-3.15, 2 La 3.36
Cd2 0.6423 0.7153 0.2563  3 Cd 3.15-3.44, 6 La 3.38-3.43
Cd3 0.6145 0.7711 0.7946  2 Cd 3.01, 4 La 3.30-3.36